Here is an optimized crystal structure of FeSiGeN2 from Alexandria via LeMat-Bulk. Energies are from GGA-PBE.

The space group is P4/mmm (No. 123) and the conventional cell measures 3.582, 3.582 and 5.164 Å, with angles of 90.00, 90.00 and 90.00 degrees. The inequivalent atoms are Fe at (0.000, 0.000, 0.000), Si at (0.500, 0.500, 0.500), Ge at (0.000, 0.000, 0.500) and N at (0.000, 0.500, 0.000).

As for the final energy: -30.62 eV/cell. The energy relative to the elements, uncorrected is 0.9064 eV per atom.

Here is an optimized crystal structure of InBi2Os2 from Alexandria via LeMat-Bulk. Energies are from GGA-PBE.

The space group is P4/mbm (No. 127) and the conventional cell measures 8.357, 8.357 and 3.150 Å, with angles of 90.00, 90.00 and 90.00 degrees. The inequivalent atoms are In at (0.000, 0.000, 0.000), Bi at (0.147, 0.353, 0.000) and Os at (0.140, 0.640, 0.500).

The offset from the most stable computed form is 365 meV per atom. As for the final energy: -55.93 eV/cell.

Here is an optimized crystal structure of CaNdNi2 from Alexandria via LeMat-Bulk. Energies are from GGA-PBE.

The space group is P4/mmm (No. 123) and the conventional cell measures 3.477, 3.477 and 6.911 Å, with angles of 90.00, 90.00 and 90.00 degrees. The inequivalent atoms are Ca at (0.000, 0.000, 0.000), Nd at (0.000, 0.000, 0.500) and Ni at (0.500, 0.500, 0.272).

The offset from the most stable computed form is 75 meV per atom. As for the final energy: -18.94 eV/cell.

Here is an optimized crystal structure of SrZnInPd3 from Alexandria via LeMat-Bulk. Energies are from GGA-PBE.

The space group is Cmcm (No. 63) and the conventional cell measures 6.085, 12.651 and 6.679 Å, with angles of 90.00, 90.00 and 90.00 degrees. The inequivalent atoms are Sr at (0.000, 0.190, 0.250), Zn at (0.000, 0.434, 0.250), In at (0.000, 0.139, 0.750), Pd at (0.000, 0.353, 0.750) and Pd at (0.230, 0.000, 0.000).

As for the final energy: -95.29 eV/cell.

Here is an optimized crystal structure of LaSm2Sn from Alexandria via LeMat-Bulk. Energies are from GGA-PBE.

The space group is P4/mmm (No. 123) and the conventional cell measures 4.147, 4.147 and 7.247 Å, with angles of 90.00, 90.00 and 90.00 degrees. The inequivalent atoms are La at (0.000, 0.000, 0.000), Sm at (0.500, 0.500, 0.286) and Sn at (0.000, 0.000, 0.500).

The offset from the most stable computed form is 109 meV per atom. As for the final energy: -19.74 eV/cell.

Here is an optimized crystal structure of LaAgAu from Alexandria via LeMat-Bulk. Energies are from GGA-PBE.

The space group is P-6m2 (No. 187) and the conventional cell measures 4.8072, 4.8072 and 3.7250 Å, with angles of 90.00, 90.00 and 120.00 degrees. The inequivalent atoms are La at (0.0000, 0.0000, 0.0000), Ag at (0.6667, 0.3333, 0.5000) and Au at (0.3333, 0.6667, 0.5000).

The offset from the most stable computed form is 6 meV per atom. As for the final energy: -12.75 eV/cell.

Here is an optimized crystal structure of YAl4Ni2 from Alexandria via LeMat-Bulk. Energies are from GGA-PBE.

The space group is Pnma (No. 62) and the conventional cell measures 16.868, 4.137 and 6.398 Å, with angles of 90.00, 90.00 and 90.00 degrees. The inequivalent atoms are Y at (0.139, 0.250, 0.017), Al at (0.032, 0.750, 0.834), Al at (0.073, 0.250, 0.503), Al at (0.187, 0.750, 0.324), Al at (0.197, 0.750, 0.727), Ni at (0.040, 0.750, 0.244) and Ni at (0.216, 0.250, 0.528).

The offset from the most stable computed form is 0 meV per atom. As for the final energy: -148.28 eV/cell.

Here is an optimized crystal structure of NdTh2Au8 from Alexandria via LeMat-Bulk. Energies are from GGA-PBE.

The space group is C2/m (No. 12) and the conventional cell measures 8.104, 15.357 and 5.242 Å, with angles of 90.00, 130.01 and 90.00 degrees. The inequivalent atoms are Nd at (0.000, 0.000, 0.000), Th at (0.000, 0.316, 0.500), Au at (0.000, 0.202, 0.000), Au at (0.002, 0.500, 0.251) and Au at (0.226, 0.133, 0.728).

As for the final energy: -106.05 eV/cell.

no.,density of states at the Fermi level (states/eV per atom)
1,0.564
2,1.051
3,0.335
4,0.479
5,1.491
6,1.200
7,0.411
8,0.624